Record 1
A relaxed structure of NaNdTl. Source: Alexandria via LeMat-Bulk, functional PBE.

Properties
Distance to the lowest polymorph of the same formula: 0 meV/atom
ΔH_f (0 K): -18 kJ/mol of atoms
Fermi-level density of states: 3.4 states/eV/f.u.

Cell: 5.6283 5.6283 6.5544 Å, 90.00 90.00 120.00°
Space group P6_3/mmc (No. 194)
Asymmetric unit:
Na (0.0000, 0.0000, 0.0000) (multiplicity 2)
Nd (0.3333, 0.6667, 0.2500) (multiplicity 2)
Tl (0.3333, 0.6667, 0.7500) (multiplicity 2)

=====

Record 2
A relaxed structure of RbYPb. Source: Alexandria via LeMat-Bulk, functional PBE.

Properties
Distance to the lowest polymorph of the same formula: 444 meV/atom
ΔH_f (0 K): 15 kJ/mol of atoms
Fermi-level density of states: 0.0 states/eV/f.u.

Cell: 7.980 7.980 7.980 Å, 90.00 90.00 90.00°
Space group F-43m (No. 216)
Asymmetric unit:
Rb (0.000, 0.000, 0.000) (multiplicity 4)
Y (0.000, 0.000, 0.500) (multiplicity 4)
Pb (0.250, 0.250, 0.750) (multiplicity 4)

=====

Record 3
A relaxed structure of SmTh5Sn5. Source: Alexandria via LeMat-Bulk, functional PBE.

Properties
ΔH_f (0 K): -30 kJ/mol of atoms
Fermi-level density of states: 7.1 states/eV/f.u.

Cell: 14.051 6.333 8.950 Å, 90.00 108.72 90.00°
Space group C2/m (No. 12)
Asymmetric unit:
Sm (0.000, 0.000, 0.000) (multiplicity 2)
Th (0.000, 0.000, 0.500) (multiplicity 2)
Th (0.162, 0.500, 0.826) (multiplicity 4)
Th (0.164, 0.500, 0.336) (multiplicity 4)
Sn (0.000, 0.500, 0.000) (multiplicity 2)
Sn (0.166, 0.000, 0.333) (multiplicity 4)
Sn (0.170, 0.000, 0.835) (multiplicity 4)

=====

Record 4
A relaxed structure of Er12CuPd6. Source: Alexandria via LeMat-Bulk, functional PBE.

Properties
ΔH_f (0 K): -46 kJ/mol of atoms
Fermi-level density of states: 17.6 states/eV/f.u.

Cell: 12.6135 12.6135 11.2820 Å, 90.00 90.00 120.00°
Space group R-3 (No. 148, hexagonal axes)
Asymmetric unit:
Er (0.0278, 0.2106, 0.3871) (multiplicity 18)
Er (0.0408, 0.2048, 0.8830) (multiplicity 18)
Cu (0.0000, 0.0000, 0.0000) (multiplicity 3)
Pd (0.0438, 0.2657, 0.6428) (multiplicity 18)

=====

Record 5
A relaxed structure of TaSi. Source: Alexandria via LeMat-Bulk, functional PBE.

Properties
Fermi-level density of states: 1.3 states/eV/f.u.
Raw formation energy: 0.334 eV/atom

Cell: 3.8080 3.8080 10.6026 Å, 90.00 90.00 120.00°
Space group P6_3/mmc (No. 194)
Asymmetric unit:
Ta (0.3333, 0.6667, 0.0965) (multiplicity 4)
Si (0.0000, 0.0000, 0.2500) (multiplicity 2)
Si (0.3333, 0.6667, 0.7500) (multiplicity 2)

=====

Record 6
A relaxed structure of Ca2PaSnN4. Source: Alexandria via LeMat-Bulk, functional PBE.

Properties
Fermi-level density of states: 3.5 states/eV/f.u.
Raw formation energy: -0.909 eV/atom

Cell: 6.040 3.549 6.053 Å, 90.00 109.40 90.00°
Space group P2/m (No. 10)
Asymmetric unit:
Ca (0.000, 0.000, 0.000) (multiplicity 1)
Ca (0.500, 0.500, 0.000) (multiplicity 1)
Pa (0.000, 0.500, 0.500) (multiplicity 1)
Sn (0.500, 0.000, 0.500) (multiplicity 1)
N (0.223, 0.000, 0.724) (multiplicity 2)
N (0.236, 0.500, 0.275) (multiplicity 2)

=====

Record 7
A relaxed structure of TmTh4Sb6. Source: Alexandria via LeMat-Bulk, functional PBE.

Properties
Fermi-level density of states: 4.9 states/eV/f.u.
Raw formation energy: -0.821 eV/atom

Cell: 12.3506 12.3506 15.2904 Å, 90.00 90.00 120.00°
Space group R-3c (No. 167, hexagonal axes)
Asymmetric unit:
Tm (0.0000, 0.0000, 0.0000) (multiplicity 6)
Th (0.0000, 0.0000, 0.2500) (multiplicity 6)
Th (0.0000, 0.3912, 0.2500) (multiplicity 18)
Sb (0.0353, 0.2123, 0.3861) (multiplicity 36)

=====

Record 8
A relaxed structure of ZnInPt2. Source: Alexandria via LeMat-Bulk, functional PBE.

Properties
ΔH_f (0 K): -9 kJ/mol of atoms
Fermi-level density of states: 1.8 states/eV/f.u.

Cell: 2.9884 2.9884 26.5290 Å, 90.00 90.00 120.00°
Space group R3m (No. 160, hexagonal axes)
Asymmetric unit:
Zn (0.0000, 0.0000, 0.0000) (multiplicity 3)
In (0.0000, 0.0000, 0.7570) (multiplicity 3)
Pt (0.0000, 0.0000, 0.2599) (multiplicity 3)
Pt (0.0000, 0.0000, 0.5072) (multiplicity 3)

=====

Record 9
A relaxed structure of CoReAs2. Source: Alexandria via LeMat-Bulk, functional PBE.

Properties
Distance to the lowest polymorph of the same formula: 95 meV/atom
ΔH_f (0 K): 17 kJ/mol of atoms
Fermi-level density of states: 2.7 states/eV/f.u.

Cell: 2.8910 2.8910 29.6942 Å, 90.00 90.00 120.00°
Space group R3m (No. 160, hexagonal axes)
Asymmetric unit:
Co (0.0000, 0.0000, 0.0000) (multiplicity 3)
Re (0.0000, 0.0000, 0.7376) (multiplicity 3)
As (0.0000, 0.0000, 0.2753) (multiplicity 3)
As (0.0000, 0.0000, 0.4693) (multiplicity 3)

=====

Record 10
A relaxed structure of SiPbBr. Source: Alexandria via LeMat-Bulk, functional PBE.

Properties
Distance to the lowest polymorph of the same formula: 357 meV/atom
Fermi-level density of states: 3.4 states/eV/f.u.
Raw formation energy: 0.489 eV/atom

Cell: 7.159 7.159 7.159 Å, 90.00 90.00 90.00°
Space group F-43m (No. 216)
Asymmetric unit:
Si (0.000, 0.000, 0.000) (multiplicity 4)
Pb (0.250, 0.250, 0.250) (multiplicity 4)
Br (0.000, 0.000, 0.500) (multiplicity 4)

=====

Record 11
A relaxed structure of NbB2Se6. Source: Alexandria via LeMat-Bulk, functional PBE.

Properties
Fermi-level density of states: 3.1 states/eV/f.u.
Raw formation energy: -0.189 eV/atom

Cell: 11.952 10.706 6.319 Å, 90.00 99.35 90.00°
Space group C2/c (No. 15)
Asymmetric unit:
Nb (0.000, 0.131, 0.250) (multiplicity 4)
B (0.209, 0.437, 0.349) (multiplicity 8)
Se (0.114, 0.062, 0.612) (multiplicity 8)
Se (0.141, 0.429, 0.631) (multiplicity 8)
Se (0.157, 0.269, 0.188) (multiplicity 8)

=====

Record 12
A relaxed structure of LiNi2As. Source: Alexandria via LeMat-Bulk, functional PBE.

Properties
ΔH_f (0 K): -20 kJ/mol of atoms
Fermi-level density of states: 3.1 states/eV/f.u.

Cell: 5.752 5.752 5.752 Å, 90.00 90.00 90.00°
Space group F-43m (No. 216)
Asymmetric unit:
Li (0.000, 0.000, 0.000) (multiplicity 4)
Ni (0.000, 0.000, 0.500) (multiplicity 4)
Ni (0.250, 0.250, 0.250) (multiplicity 4)
As (0.250, 0.250, 0.750) (multiplicity 4)

=====

Record 13
A relaxed structure of Sr2FeCo. Source: Alexandria via LeMat-Bulk, functional PBE.

Properties
Distance to the lowest polymorph of the same formula: 0 meV/atom
ΔH_f (0 K): 19 kJ/mol of atoms
Fermi-level density of states: 3.6 states/eV/f.u.

Cell: 4.0264 4.0264 24.5572 Å, 90.00 90.00 120.00°
Space group R3m (No. 160, hexagonal axes)
Asymmetric unit:
Sr (0.0000, 0.0000, 0.0000) (multiplicity 3)
Sr (0.0000, 0.0000, 0.1738) (multiplicity 3)
Fe (0.0000, 0.0000, 0.7537) (multiplicity 3)
Co (0.0000, 0.0000, 0.4200) (multiplicity 3)

=====

Record 14
A relaxed structure of TiVFeTc. Source: Alexandria via LeMat-Bulk, functional PBE.

Properties
Distance to the lowest polymorph of the same formula: 0 meV/atom
ΔH_f (0 K): -36 kJ/mol of atoms
Fermi-level density of states: 1.7 states/eV/f.u.

Cell: 5.975 5.975 5.975 Å, 90.00 90.00 90.00°
Space group F-43m (No. 216)
Asymmetric unit:
Ti (0.000, 0.000, 0.000) (multiplicity 4)
V (0.000, 0.000, 0.500) (multiplicity 4)
Fe (0.250, 0.250, 0.250) (multiplicity 4)
Tc (0.250, 0.250, 0.750) (multiplicity 4)

=====

Record 15
A relaxed structure of Na2CaTe2. Source: Alexandria via LeMat-Bulk, functional PBE.

Properties
Distance to the lowest polymorph of the same formula: 173 meV/atom
Fermi-level density of states: 0.0 states/eV/f.u.
Raw formation energy: -0.938 eV/atom

Cell: 4.377 4.377 15.886 Å, 90.00 90.00 90.00°
Space group I4/mmm (No. 139)
Asymmetric unit:
Na (0.000, 0.500, 0.250) (multiplicity 4)
Ca (0.000, 0.000, 0.000) (multiplicity 2)
Te (0.000, 0.000, 0.387) (multiplicity 4)

=====

| no. | calculated total energy (eV per atom) |
| --- | --- |
| 1 | -3.002 |
| 2 | -3.555 |
| 3 | -5.934 |
| 4 | -5.211 |
| 5 | -8.304 |
| 6 | -7.259 |
| 7 | -6.174 |
| 8 | -4.112 |
| 9 | -7.040 |
| 10 | -3.112 |
| 11 | -5.115 |
| 12 | -4.742 |
| 13 | -4.536 |
| 14 | -9.331 |
| 15 | -3.123 |